A plane-wave DFT calculation with PBE+U was carried out for a relaxed LaCoO3 crystal.

a b c (Å): 5.4539 5.4396 7.7164
angles (deg): 90.00 90.00 90.00
Last column: nearest neighbours and their distance in Å.
Fractional coordinates of all 20 atoms:
1 Co 0.5000 0.0000 0.0000  6 O 1.95-1.96
2 Co 0.0000 0.5000 0.0000  6 O 1.95-1.96
3 Co 0.5000 0.0000 0.5000  6 O 1.95-1.96
4 Co 0.0000 0.5000 0.5000  6 O 1.95-1.96
5 La 0.9955 0.0218 0.2500  6 O 2.41-2.63
6 La 0.5045 0.5218 0.2500  6 O 2.41-2.63
7 La 0.4955 0.4782 0.7500  6 O 2.41-2.63
8 La 0.0045 0.9782 0.7500  6 O 2.41-2.63
9 O 0.7225 0.2778 0.0341  2 Co 1.95-1.96
10 O 0.7775 0.7778 0.0341  2 Co 1.95-1.96
11 O 0.0638 0.4912 0.2500  2 Co 1.96
12 O 0.4362 0.9912 0.2500  2 Co 1.96
13 O 0.7225 0.2778 0.4659  2 Co 1.95-1.96
14 O 0.7775 0.7778 0.4659  2 Co 1.95-1.96
15 O 0.2225 0.2222 0.5341  2 Co 1.95-1.96
16 O 0.2775 0.7222 0.5341  2 Co 1.95-1.96
17 O 0.5638 0.0088 0.7500  2 Co 1.96
18 O 0.9362 0.5088 0.7500  2 Co 1.96
19 O 0.2225 0.2222 0.9659  2 Co 1.95-1.96
20 O 0.2775 0.7222 0.9659  2 Co 1.95-1.96

total DFT energy (no corrections)	-7.21	eV/atom
volume	229	Å³/cell
SG	Pnma (62)
magnetization	2.02	μB/f.u.
crystal system	orthorhombic